SrLaPb2 at its PBEsol-relaxed geometry, computed with meta-GGA SCAN.

Properties
**Electronic total energy**: -55.013 eV per atom
**V**: 249.19 Å³ per cell
**Formation enthalpy at 0 K**: -0.777 eV per atom
**Total moment**: 0.0876 μB per atom

Unit cell a=7.3999 b=9.2032 c=3.6591 alpha=90.00 beta=90.00 gamma=90.00
Fractional coordinates of all 8 atoms:
Sr 0.0000 0.0000 0.0000
Sr 0.5000 0.5000 0.0000
La 0.0000 0.5000 0.0000
La 0.5000 0.0000 0.0000
Pb 0.2500 0.2500 0.5000
Pb 0.2500 0.7500 0.5000
Pb 0.7500 0.2500 0.5000
Pb 0.7500 0.7500 0.5000



Sr2LaPb at its PBEsol-relaxed geometry, computed with meta-GGA SCAN.

Properties
**Electronic total energy**: -41.245 eV per atom
**V**: 140.24 Å³ per cell
**Formation enthalpy at 0 K**: -0.386 eV per atom
**Total moment**: 0.1843 μB per atom

Unit cell a=5.1010 b=5.1010 c=5.3896 alpha=90.00 beta=90.00 gamma=90.00
Fractional coordinates of all 4 atoms:
Sr 0.0000 0.5000 0.0000
Sr 0.5000 0.0000 0.0000
La 0.0000 0.0000 0.5000
Pb 0.5000 0.5000 0.5000



Sr2LaPb at its PBEsol-relaxed geometry, computed with meta-GGA SCAN.

Properties
**Electronic total energy**: -41.045 eV per atom
**V**: 290.01 Å³ per cell
**Formation enthalpy at 0 K**: -0.186 eV per atom
**Total moment**: 0.0015 μB per atom

Unit cell a=7.1659 b=10.6903 c=3.7858 alpha=90.00 beta=90.48 gamma=90.00
Fractional coordinates of all 8 atoms:
Sr 0.2500 0.2500 0.0000
Sr 0.2500 0.7500 0.0000
Sr 0.7500 0.2500 0.0000
Sr 0.7500 0.7500 0.0000
La 0.0000 0.0000 0.5000
La 0.5000 0.5000 0.5000
Pb 0.0000 0.5000 0.5000
Pb 0.5000 0.0000 0.5000



SrLaPb2 at its PBEsol-relaxed geometry, computed with meta-GGA SCAN.

Properties
**Electronic total energy**: -54.997 eV per atom
**V**: 250.81 Å³ per cell
**Formation enthalpy at 0 K**: -0.761 eV per atom
**Total moment**: 0.0000 μB per atom

Unit cell a=5.2628 b=5.2628 c=9.0556 alpha=90.00 beta=90.00 gamma=90.00
Fractional coordinates of all 8 atoms:
Sr 0.0000 0.0000 0.0000
Sr 0.5000 0.5000 0.5000
La 0.0000 0.0000 0.5000
La 0.5000 0.5000 0.0000
Pb 0.0000 0.5000 0.2500
Pb 0.0000 0.5000 0.7500
Pb 0.5000 0.0000 0.2500
Pb 0.5000 0.0000 0.7500



SrLaPb2 at its PBEsol-relaxed geometry, computed with meta-GGA SCAN.

Properties
**Electronic total energy**: -55.019 eV per atom
**V**: 124.60 Å³ per cell
**Formation enthalpy at 0 K**: -0.783 eV per atom
**Total moment**: 0.0000 μB per atom

Unit cell a=3.6712 b=3.6712 c=9.2450 alpha=90.00 beta=90.00 gamma=90.00
Fractional coordinates of all 4 atoms:
Sr 0.0000 0.0000 0.0000
La 0.0000 0.0000 0.5000
Pb 0.5000 0.5000 0.2551
Pb 0.5000 0.5000 0.7449



SrLaPb2 at its PBEsol-relaxed geometry, computed with meta-GGA SCAN.

Properties
**Electronic total energy**: -55.008 eV per atom
**V**: 125.28 Å³ per cell
**Formation enthalpy at 0 K**: -0.772 eV per atom
**Total moment**: 0.0000 μB per atom

Unit cell a=5.2510 b=5.2510 c=4.5435 alpha=90.00 beta=90.00 gamma=90.00
Fractional coordinates of all 4 atoms:
Sr 0.0000 0.0000 0.0000
La 0.5000 0.5000 0.0000
Pb 0.0000 0.5000 0.5000
Pb 0.5000 0.0000 0.5000



Sr2LaPb at its PBEsol-relaxed geometry, computed with meta-GGA SCAN.

Properties
**Electronic total energy**: -41.068 eV per atom
**V**: 484.51 Å³ per cell
**Formation enthalpy at 0 K**: -0.209 eV per atom
**Total moment**: 0.1488 μB per atom

Unit cell a=3.9675 b=3.9675 c=35.5423 alpha=90.00 beta=90.00 gamma=120.00
Fractional coordinates of all 12 atoms:
Sr 0.0000 0.0000 0.0000
Sr 0.0000 0.0000 0.2321
Sr 0.3333 0.6667 0.6667
Sr 0.3333 0.6667 0.8987
Sr 0.6667 0.3333 0.3333
Sr 0.6667 0.3333 0.5654
La 0.0000 0.0000 0.4726
La 0.3333 0.6667 0.1393
La 0.6667 0.3333 0.8060
Pb 0.0000 0.0000 0.7370
Pb 0.3333 0.6667 0.4036
Pb 0.6667 0.3333 0.0703



LaTaPb at its PBEsol-relaxed geometry, computed with meta-GGA SCAN.

Properties
**Electronic total energy**: -60.736 eV per atom
**V**: 378.98 Å³ per cell
**Formation enthalpy at 0 K**: 1.087 eV per atom
**Total moment**: 1.1733 μB per atom

Unit cell a=7.2367 b=7.2367 c=7.2367 alpha=90.00 beta=90.00 gamma=90.00
Fractional coordinates of all 12 atoms:
La 0.0000 0.0000 0.0000
La 0.0000 0.5000 0.5000
La 0.5000 0.0000 0.5000
La 0.5000 0.5000 0.0000
Ta 0.2500 0.2500 0.2500
Ta 0.2500 0.7500 0.7500
Ta 0.7500 0.2500 0.7500
Ta 0.7500 0.7500 0.2500
Pb 0.2500 0.2500 0.7500
Pb 0.2500 0.7500 0.2500
Pb 0.7500 0.2500 0.2500
Pb 0.7500 0.7500 0.7500



La2TaPb at its PBEsol-relaxed geometry, computed with meta-GGA SCAN.

Properties
**Electronic total energy**: -57.034 eV per atom
**V**: 109.08 Å³ per cell
**Formation enthalpy at 0 K**: 0.110 eV per atom
**Total moment**: 0.0000 μB per atom

Unit cell a=3.2910 b=4.4393 c=7.4663 alpha=90.00 beta=90.00 gamma=90.00
Fractional coordinates of all 4 atoms:
La 0.0000 0.0000 0.2373
La 0.0000 0.0000 0.7627
Ta 0.5000 0.5000 0.0000
Pb 0.5000 0.5000 0.5000



La2Ta2Pb at its PBEsol-relaxed geometry, computed with meta-GGA SCAN.

Properties
**Electronic total energy**: -58.041 eV per atom
**V**: 271.36 Å³ per cell
**Formation enthalpy at 0 K**: 0.990 eV per atom
**Total moment**: 0.0000 μB per atom

Unit cell a=4.5427 b=4.5427 c=13.1498 alpha=90.00 beta=90.00 gamma=90.00
Fractional coordinates of all 10 atoms:
La 0.0000 0.5000 0.2500
La 0.0000 0.5000 0.7500
La 0.5000 0.0000 0.2500
La 0.5000 0.0000 0.7500
Ta 0.0000 0.0000 0.0883
Ta 0.0000 0.0000 0.9117
Ta 0.5000 0.5000 0.4117
Ta 0.5000 0.5000 0.5883
Pb 0.0000 0.0000 0.5000
Pb 0.5000 0.5000 0.0000



La3TaPb at its PBEsol-relaxed geometry, computed with meta-GGA SCAN.

Properties
**Electronic total energy**: -54.223 eV per atom
**V**: 165.46 Å³ per cell
**Formation enthalpy at 0 K**: 0.113 eV per atom
**Total moment**: 0.0000 μB per atom

Unit cell a=5.4899 b=5.4899 c=5.4899 alpha=90.00 beta=90.00 gamma=90.00
Fractional coordinates of all 5 atoms:
La 0.0000 0.0000 0.5000
La 0.0000 0.5000 0.0000
La 0.5000 0.0000 0.0000
Ta 0.0000 0.0000 0.0000
Pb 0.5000 0.5000 0.5000



LaTaPb2 at its PBEsol-relaxed geometry, computed with meta-GGA SCAN.

Properties
**Electronic total energy**: -65.095 eV per atom
**V**: 204.22 Å³ per cell
**Formation enthalpy at 0 K**: 0.217 eV per atom
**Total moment**: 0.0006 μB per atom

Unit cell a=4.4527 b=4.4943 c=10.2049 alpha=90.00 beta=90.00 gamma=90.00
Fractional coordinates of all 8 atoms:
La 0.0000 0.0000 0.0000
La 0.5000 0.5000 0.5000
Ta 0.0000 0.5000 0.2502
Ta 0.5000 0.0000 0.7502
Pb 0.0000 0.0000 0.5032
Pb 0.0000 0.5000 0.7514
Pb 0.5000 0.0000 0.2514
Pb 0.5000 0.5000 0.0032



- Look up the electronic total energy of the third one.
  -41.045 eV per atom